A plane-wave DFT calculation with PBE-GGA was carried out for an optimized crystal structure of CePu2As.

Values from the calculation:
ΔE to the lowest computed polymorph, kcal/mol of atoms: 7.52
Energy of formation from the pure elements, eV per atom: -0.1662
Total DFT energy (no corrections), eV/cell: -39.91
SG: R-3m, No. 166

a = 9.2846 Å, b = 9.2846 Å, c = 9.2846 Å
α = 23.26°, β = 23.26°, γ = 23.26°
With the nearest neighbours (Å) after each atom.
Element x y z (fractional)
Ce1 0.0000 0.0000 0.0000  2 Pu 2.65
Pu1 0.0979 0.0979 0.0979  1 Ce 2.65, 3 As 2.85
Pu2 0.9021 0.9021 0.9021  1 Ce 2.65, 3 As 2.85
As1 0.5000 0.5000 0.5000  6 Pu 2.85